1.
DFT (PBE) results for a relaxed NbV4Mo3 crystal.

Cell and atoms, written as POSCAR:
```
NbV4Mo3
1.0
3.0941 0.0000 0.0000
0.0000 4.3793 0.0000
0.0000 0.0000 8.7733
Nb V Mo
1 4 3
direct
0.0000 0.0000 0.0000
0.5000 0.0000 0.2584
0.5000 0.0000 0.7416
0.5000 0.5000 0.0000
0.5000 0.5000 0.5000
0.0000 0.0000 0.5000
0.0000 0.5000 0.2514
0.0000 0.5000 0.7486
```

## Properties
crystal system	orthorhombic
formation enthalpy at 0 K	-0.0855	eV per atom
symmetry	Pmmm (47)



2.
DFT (PBE) results for a relaxed TlSnN2F crystal.

Cell and atoms, written as POSCAR:
```
TlSnN2F
1.0
4.3348 0.0000 0.0000
0.0000 4.3348 0.0000
0.0000 0.0000 4.5437
Tl Sn N F
1 1 2 1
direct
0.0000 0.0000 0.0000
0.5000 0.5000 0.5000
0.0000 0.5000 0.0000
0.5000 0.0000 0.0000
0.0000 0.0000 0.5000
```

## Properties
crystal system	tetragonal
energy above the most stable polymorph in this dataset	585	meV per atom
symmetry	P4/mmm (123)
formation energy (no corrections)	0.8434	eV/atom



3.
DFT (PBE) results for a relaxed VRe3As6 crystal.

Cell and atoms, written as POSCAR:
```
VRe3As6
1.0
10.6304 0.0000 0.0000
0.0000 3.1766 0.0000
-5.1501 0.0000 9.9868
V Re As
2 6 12
direct
0.2299 0.2500 0.1337
0.7701 0.7500 0.8663
0.0178 0.2500 0.2830
0.3831 0.2500 0.9230
0.4412 0.7500 0.5715
0.5588 0.2500 0.4285
0.6169 0.7500 0.0770
0.9822 0.7500 0.7170
0.0352 0.7500 0.1183
0.1578 0.2500 0.6977
0.2096 0.7500 0.9464
0.2277 0.2500 0.5087
0.3392 0.7500 0.3266
0.4813 0.7500 0.8145
0.5187 0.2500 0.1855
0.6608 0.2500 0.6734
0.7723 0.7500 0.4913
0.7904 0.2500 0.0536
0.8422 0.7500 0.3023
0.9648 0.2500 0.8817
```

## Properties
crystal system	monoclinic
formation enthalpy at 0 K	-0.0467	eV per atom
symmetry	P2_1/m (11)



4.
DFT (PBE) results for a relaxed RbNp2AuSe5 crystal.

Cell and atoms, written as POSCAR:
```
RbNp2AuSe5
1.0
-3.9521 3.9521 7.7369
3.9521 -3.9521 7.7369
3.9521 3.9521 -7.7369
Rb Np Au Se
2 4 2 10
direct
0.2500 0.2500 0.0000
0.7500 0.7500 0.0000
0.1586 0.6586 0.8172
0.3414 0.1586 0.5000
0.6586 0.8414 0.5000
0.8414 0.3414 0.1828
0.2500 0.7500 0.5000
0.7500 0.2500 0.5000
0.0000 0.0000 0.0000
0.0297 0.2373 0.5000
0.2373 0.7373 0.2075
0.2627 0.4703 0.5000
0.4703 0.9703 0.2075
0.5000 0.5000 0.0000
0.5297 0.0297 0.7925
0.7373 0.5297 0.5000
0.7627 0.2627 0.7925
0.9703 0.7627 0.5000
```

## Properties
crystal system	tetragonal
symmetry	I4/mcm (140)
formation energy (no corrections)	-0.9058	eV/atom



Sequential spin magnetization output: 0.00; 1.50; 0.00; 12.05 μB/cell
Sequential Fermi-level density of states output: 1.04; 0.48; 0.34; 2.00 states/eV per atom